A plane-wave DFT calculation with PBE-GGA was carried out for Zr2CdInTe after structural relaxation.

POSCAR file:
```
Zr2CdInTe
1.0
5.438 0.000 0.000
0.000 5.438 0.000
0.000 0.000 4.976
Zr Cd In Te
2 1 1 1
Direct
0.000 0.500 0.000
0.500 0.000 0.000
0.000 0.000 0.000
0.000 0.000 0.500
0.500 0.500 0.500
```

Values from the calculation:
Raw formation energy   760 meV/atom
Symmetry   P4/mmm